Entry 1:
Zr2ZnAs PBE-GGA relaxed; Fermi-level density of states = 5.5 states/eV per cell; E = -49.14 eV per cell; total magnetization = 0.00 μB per cell
1.0
-4.163 1.581 -5.853
0.340 -7.028 -2.141
-4.382 -3.328 -2.403
Zr As Zn
4 2 2
direct
0.118 0.625 0.250 Zr
0.875 0.882 0.750 Zr
0.375 0.368 0.750 Zr
0.632 0.125 0.250 Zr
0.750 0.250 0.500 As
0.000 0.000 0.000 As
0.500 0.500 0.000 Zn
0.250 0.750 0.500 Zn

Entry 2:
BaMgInGe2 PBE-GGA relaxed; Fermi-level density of states = 1.9 states/eV per cell; E = -17.55 eV per cell; total magnetization = 0.00 μB per cell
1.0
-0.791 -2.577 -3.732
3.327 -2.904 1.301
-5.403 -0.578 4.383
In Ge Ba Mg
1 2 1 1
direct
0.750 0.250 0.500 In
0.611 0.611 0.223 Ge
0.389 0.389 0.777 Ge
0.000 0.000 0.000 Ba
0.250 0.750 0.500 Mg

Entry 3:
Be2AlReC PBE-GGA relaxed; Fermi-level density of states = 2.8 states/eV per cell; E = -22.06 eV per cell; total magnetization = 0.00 μB per cell
1.0
4.233 0.000 0.000
0.000 4.734 0.000
0.000 0.000 4.233
Be Al Re C
2 1 1 1
direct
0.500 0.000 0.000 Be
0.000 0.000 0.500 Be
0.000 0.500 0.000 Al
0.000 0.000 0.000 Re
0.500 0.500 0.500 C

Entry 4:
SrMgZnRh PBE-GGA relaxed; Fermi-level density of states = 2.1 states/eV per cell; E = -13.18 eV per cell; total magnetization = 0.00 μB per cell
1.0
-1.144 -0.658 4.244
-1.557 -3.956 1.295
4.401 -3.243 3.010
Rh Zn Mg Sr
1 1 1 1
direct
0.620 0.620 0.140 Rh
0.280 0.280 0.161 Zn
0.008 0.008 0.975 Mg
0.818 0.818 0.547 Sr

Entry 5:
GeAsO3 PBE-GGA relaxed; ΔE_f (raw) = -0.68 eV/atom; Fermi-level density of states = 0.7 states/eV per cell; total magnetization = 0.00 μB per cell
1.0
-1.869 2.139 2.616
-2.536 -2.863 0.530
2.233 -1.461 2.790
O Ge As
3 1 1
direct
0.000 0.500 0.000 O
0.000 0.000 0.500 O
0.500 0.000 0.000 O
0.500 0.500 0.500 Ge
0.000 0.000 0.000 As

Entry 6:
La2Be2In PBE-GGA relaxed; Fermi-level density of states = 4.2 states/eV per cell; total magnetization = 0.00 μB per cell; E above lowest polymorph = 248.6 meV per atom
1.0
3.259 0.000 0.000
0.000 3.259 0.000
1.629 1.629 10.653
La Be In
2 2 1
direct
0.620 0.620 0.761 La
0.380 0.380 0.239 La
0.750 0.250 0.500 Be
0.250 0.750 0.500 Be
0.000 0.000 0.000 In

Entry 7:
NaLa2C2N6 PBE-GGA relaxed; ΔE_f (raw) = -0.34 eV/atom; Fermi-level density of states = 4.0 states/eV per cell; total magnetization = 1.02 μB per cell
1.0
-3.154 4.986 3.364
-4.374 -0.845 4.010
5.535 1.552 2.888
N C La Na
6 2 2 1
direct
0.085 0.505 0.782 N
0.094 0.811 0.635 N
0.915 0.495 0.218 N
0.410 0.505 0.782 N
0.906 0.189 0.365 N
0.590 0.495 0.218 N
0.807 0.386 0.274 C
0.193 0.614 0.726 C
0.829 0.343 0.804 La
0.171 0.657 0.196 La
0.500 0.000 0.500 Na

Entry 8:
RbNaSr2Pt PBE-GGA relaxed; Fermi-level density of states = 2.8 states/eV per cell; total magnetization = 0.00 μB per cell; E above lowest polymorph = 0.0 meV per atom
1.0
5.958 0.000 0.000
0.000 5.958 0.000
0.000 0.000 6.243
Sr Na Pt Rb
2 1 1 1
direct
0.000 0.500 0.000 Sr
0.500 0.000 0.000 Sr
0.000 0.000 0.500 Na
0.000 0.000 0.000 Pt
0.500 0.500 0.500 Rb

Entry 9:
Pm3Nd5H12 PBE-GGA relaxed; Fermi-level density of states = 60.8 states/eV per cell; E = -347.81 eV per cell; total magnetization = 0.01 μB per cell
1.0
-8.311 -8.313 0.906
4.894 1.832 10.568
-4.867 10.018 -3.867
H Nd Pm
48 20 12
direct
0.431 0.658 0.085 H
0.658 0.227 0.573 H
0.915 0.842 0.569 H
0.658 0.431 0.585 H
0.727 0.154 0.069 H
0.585 0.654 0.427 H
0.154 0.427 0.085 H
0.773 0.342 0.927 H
0.915 0.073 0.846 H
0.346 0.931 0.773 H
0.227 0.658 0.073 H
0.573 0.846 0.415 H
0.158 0.073 0.727 H
0.085 0.927 0.154 H
0.427 0.154 0.585 H
0.415 0.346 0.573 H
0.569 0.342 0.915 H
0.158 0.085 0.931 H
0.342 0.773 0.427 H
0.415 0.069 0.342 H
0.273 0.427 0.842 H
0.085 0.158 0.431 H
0.342 0.569 0.415 H
0.154 0.727 0.569 H
0.569 0.227 0.154 H
0.846 0.573 0.915 H
0.846 0.273 0.431 H
0.931 0.585 0.158 H
0.227 0.569 0.654 H
0.069 0.415 0.842 H
0.931 0.346 0.273 H
0.773 0.431 0.346 H
0.427 0.273 0.342 H
0.927 0.085 0.654 H
0.073 0.915 0.346 H
0.573 0.727 0.658 H
0.585 0.931 0.658 H
0.346 0.415 0.073 H
0.927 0.842 0.773 H
0.273 0.846 0.931 H
0.842 0.927 0.273 H
0.073 0.158 0.227 H
0.431 0.773 0.846 H
0.069 0.654 0.727 H
0.842 0.915 0.069 H
0.654 0.069 0.227 H
0.727 0.573 0.158 H
0.654 0.585 0.927 H
0.625 0.750 0.875 Nd
0.125 0.375 0.250 Nd
0.625 0.875 0.250 Nd
0.500 0.000 0.000 Nd
0.000 0.500 0.000 Nd
0.500 0.500 0.500 Nd
0.750 0.625 0.375 Nd
0.750 0.125 0.875 Nd
0.000 0.000 0.500 Nd
0.375 0.250 0.125 Nd
0.875 0.250 0.625 Nd
0.000 0.500 0.500 Nd
0.250 0.875 0.125 Nd
0.125 0.750 0.375 Nd
0.875 0.625 0.750 Nd
0.500 0.500 0.000 Nd
0.250 0.375 0.625 Nd
0.500 0.000 0.500 Nd
0.375 0.125 0.750 Nd
0.000 0.000 0.000 Nd
0.375 0.625 0.250 Pm
0.125 0.250 0.875 Pm
0.625 0.250 0.375 Pm
0.875 0.750 0.125 Pm
0.625 0.375 0.750 Pm
0.750 0.375 0.125 Pm
0.250 0.125 0.375 Pm
0.750 0.875 0.625 Pm
0.250 0.625 0.875 Pm
0.125 0.875 0.750 Pm
0.875 0.125 0.250 Pm
0.375 0.750 0.625 Pm

Entry 10:
La3Ir PBE-GGA relaxed; Fermi-level density of states = 34.1 states/eV per cell; E = -202.74 eV per cell; total magnetization = 0.00 μB per cell
1.0
-1.737 5.516 -3.191
-7.665 2.789 8.994
8.858 6.069 5.668
Ir La
8 24
direct
0.256 0.926 0.185 Ir
0.244 0.574 0.315 Ir
0.244 0.426 0.685 Ir
0.756 0.685 0.574 Ir
0.744 0.185 0.074 Ir
0.744 0.815 0.926 Ir
0.256 0.074 0.815 Ir
0.756 0.315 0.426 Ir
0.058 0.424 0.138 La
0.767 0.562 0.372 La
0.056 0.715 0.154 La
0.056 0.285 0.846 La
0.442 0.924 0.638 La
0.558 0.362 0.924 La
0.267 0.872 0.938 La
0.233 0.628 0.562 La
0.944 0.846 0.715 La
0.233 0.372 0.438 La
0.444 0.215 0.654 La
0.267 0.128 0.062 La
0.058 0.576 0.862 La
0.556 0.346 0.215 La
0.944 0.154 0.285 La
0.442 0.076 0.362 La
0.942 0.138 0.576 La
0.767 0.438 0.628 La
0.942 0.862 0.424 La
0.733 0.938 0.128 La
0.558 0.638 0.076 La
0.733 0.062 0.872 La
0.556 0.654 0.785 La
0.444 0.785 0.346 La

Entry 11:
CdFe2Si2 PBE-GGA relaxed; ΔE_f (raw) = -0.10 eV/atom; Fermi-level density of states = 7.1 states/eV per cell; total magnetization = 0.00 μB per cell
1.0
6.886 0.000 0.000
0.000 6.886 0.000
0.000 0.000 2.693
Cd Si Fe
2 4 4
direct
0.000 0.000 0.000 Cd
0.500 0.500 0.000 Cd
0.635 0.135 0.000 Si
0.365 0.865 0.000 Si
0.135 0.365 0.000 Si
0.865 0.635 0.000 Si
0.347 0.153 0.500 Fe
0.847 0.347 0.500 Fe
0.153 0.653 0.500 Fe
0.653 0.847 0.500 Fe

Entry 12:
La2VOs2 PBE-GGA relaxed; Fermi-level density of states = 9.1 states/eV per cell; total magnetization = 5.91 μB per cell; E above lowest polymorph = 658.0 meV per atom
1.0
-1.117 -6.993 -4.457
-0.028 -4.494 7.058
-3.183 0.367 0.221
La V Os
4 2 4
direct
0.366 0.866 0.000 La
0.866 0.634 0.000 La
0.134 0.366 0.000 La
0.634 0.134 0.000 La
0.500 0.500 0.000 V
0.000 0.000 0.000 V
0.178 0.678 0.500 Os
0.322 0.178 0.500 Os
0.822 0.322 0.500 Os
0.678 0.822 0.500 Os

Entry 13:
Y4C2N PBE-GGA relaxed; ΔE_f (raw) = -0.51 eV/atom; Fermi-level density of states = 5.5 states/eV per cell; total magnetization = 0.68 μB per cell
1.0
-0.831 0.787 3.369
-5.224 0.374 -3.255
-2.156 -11.462 2.145
Y N C
8 2 4
direct
0.966 0.933 0.750 Y
0.034 0.067 0.250 Y
0.772 0.545 0.383 Y
0.772 0.545 0.117 Y
0.500 0.000 0.500 Y
0.500 0.000 0.000 Y
0.228 0.455 0.883 Y
0.228 0.455 0.617 Y
0.402 0.805 0.250 N
0.598 0.195 0.750 N
0.863 0.725 0.933 C
0.863 0.725 0.567 C
0.137 0.275 0.433 C
0.137 0.275 0.067 C

Entry 14:
KBiPd PBE-GGA relaxed; Fermi-level density of states = 3.5 states/eV per cell; total magnetization = 0.00 μB per cell; E above lowest polymorph = 142.3 meV per atom
1.0
-0.869 1.225 -5.093
1.145 -4.339 -1.239
-4.424 1.043 1.006
Pd Bi K
1 1 1
direct
0.166 0.000 0.000 Pd
0.167 0.333 0.667 Bi
0.667 0.667 0.333 K

Entry 15:
AcEuPbAu PBE-GGA relaxed; Fermi-level density of states = 11.5 states/eV per cell; E = -24.04 eV per cell; total magnetization = 7.09 μB per cell
1.0
-0.447 5.529 0.930
-0.683 1.924 5.241
4.181 2.770 2.546
Pb Eu Au Ac
1 1 1 1
direct
0.500 0.500 0.500 Pb
0.250 0.250 0.250 Eu
0.000 0.000 0.000 Au
0.750 0.750 0.750 Ac

Entry 16:
KReGe2 PBE-GGA relaxed; Fermi-level density of states = 0.2 states/eV per cell; total magnetization = 0.00 μB per cell; E above lowest polymorph = 0.0 meV per atom
1.0
6.145 0.000 0.000
0.000 6.145 0.000
3.073 3.073 7.133
Re Ge K
2 4 2
direct
0.000 0.000 0.000 Re
0.750 0.250 0.500 Re
0.375 0.126 0.750 Ge
0.875 0.124 0.750 Ge
0.876 0.625 0.250 Ge
0.874 0.125 0.250 Ge
0.250 0.750 0.500 K
0.500 0.500 0.000 K

Entry 17:
BeHg2Os PBE-GGA relaxed; Fermi-level density of states = 2.0 states/eV per cell; E = -13.43 eV per cell; total magnetization = 0.00 μB per cell
1.0
2.876 -0.027 0.000
-1.261 2.585 0.000
0.000 0.000 9.479
Hg Be Os
2 1 1
direct
0.500 0.500 0.277 Hg
0.000 0.000 0.952 Hg
0.500 0.500 0.720 Be
0.000 0.000 0.551 Os

Entry 18:
CdCo2W PBE-GGA relaxed; Fermi-level density of states = 3.7 states/eV per cell; E = -25.86 eV per cell; total magnetization = 1.44 μB per cell
1.0
2.705 0.000 0.000
0.000 5.105 0.016
0.000 3.086 4.163
Co Cd W
2 1 1
direct
0.500 0.500 0.000 Co
0.000 0.000 0.000 Co
0.000 0.000 0.500 Cd
0.500 0.500 0.500 W

Entry 19:
BeGaSn3 PBE-GGA relaxed; Fermi-level density of states = 3.8 states/eV per cell; total magnetization = 0.00 μB per cell; E above lowest polymorph = 554.2 meV per atom
1.0
-1.077 -5.050 1.222
3.763 -1.619 -3.372
3.582 0.182 3.910
Be Sn Ga
1 3 1
direct
0.500 0.500 0.500 Be
0.500 0.000 0.000 Sn
0.000 0.000 0.500 Sn
0.000 0.500 0.000 Sn
0.000 0.000 0.000 Ga

Entry 20:
BaBi3F PBE-GGA relaxed; ΔE_f (raw) = 0.64 eV/atom; Fermi-level density of states = 7.4 states/eV per cell; total magnetization = 0.11 μB per cell; E above lowest polymorph = 1442.0 meV per atom
1.0
-1.517 1.151 6.155
5.943 -1.729 1.789
1.972 6.099 -0.655
Bi Ba F
3 1 1
direct
0.000 0.500 0.000 Bi
0.500 0.000 0.000 Bi
0.000 0.000 0.500 Bi
0.000 0.000 0.000 Ba
0.500 0.500 0.500 F